Entry 1:
An optimized crystal structure of Sc2CrFe, computed with PBE-GGA.

Calculated values
- Uncorrected energy: -7.615 eV per atom
- Formation energy from the elements: 72 meV/atom

Cell and atoms, written as CIF:
```
data_Sc2CrFe
_cell_length_a 2.898
_cell_length_b 2.898
_cell_length_c 7.982
_cell_angle_alpha 90.00
_cell_angle_beta 90.00
_cell_angle_gamma 90.00
_space_group_name_H-M_alt 'P 4 m m'
_space_group_IT_number 99
_space_group_name_Hall 'P 4 -2'
loop_
_atom_site_label
_atom_site_type_symbol
_atom_site_fract_x
_atom_site_fract_y
_atom_site_fract_z
Sc1 Sc 0.000 0.000 0.000
Sc2 Sc 0.500 0.500 0.372
Cr1 Cr 0.000 0.000 0.617
Fe1 Fe 0.500 0.500 0.767
```



Entry 2:
An optimized crystal structure of ZrCdHg2, computed with PBE-GGA.

Calculated values
- Uncorrected energy: -2.375 eV per atom
- Formation energy from the elements: 142 meV/atom

Cell and atoms, written as CIF:
```
data_ZrCdHg2
_cell_length_a 7.853
_cell_length_b 7.853
_cell_length_c 6.270
_cell_angle_alpha 90.00
_cell_angle_beta 90.00
_cell_angle_gamma 90.00
_space_group_name_H-M_alt 'I -4 2 d'
_space_group_IT_number 122
_space_group_name_Hall 'I -4 2bw'
loop_
_atom_site_label
_atom_site_type_symbol
_atom_site_fract_x
_atom_site_fract_y
_atom_site_fract_z
Zr1 Zr 0.000 0.000 0.000
Cd1 Cd 0.000 0.000 0.500
Hg1 Hg 0.247 0.250 0.625
```



Entry 3:
An optimized crystal structure of BaCeGa3, computed with PBE-GGA.

Calculated values
- Uncorrected energy: -3.793 eV per atom
- Formation energy from the elements: -405 meV/atom

Cell and atoms, written as CIF:
```
data_BaCeGa3
_cell_length_a 4.751
_cell_length_b 26.631
_cell_length_c 4.356
_cell_angle_alpha 90.00
_cell_angle_beta 90.00
_cell_angle_gamma 90.00
_space_group_name_H-M_alt 'C m c m'
_space_group_IT_number 63
_space_group_name_Hall '-C 2c 2'
loop_
_atom_site_label
_atom_site_type_symbol
_atom_site_fract_x
_atom_site_fract_y
_atom_site_fract_z
Ba1 Ba 0.000 0.075 0.250
Ce1 Ce 0.000 0.205 0.750
Ga1 Ga 0.000 0.320 0.750
Ga2 Ga 0.000 0.376 0.250
Ga3 Ga 0.000 0.476 0.250
```



Entry 4:
An optimized crystal structure of Er3CdTe6, computed with PBE-GGA.

Calculated values
- Raw formation energy: -1026 meV per atom
- Uncorrected energy: -4.371 eV per atom

Cell and atoms, written as CIF:
```
data_Er3CdTe6
_cell_length_a 12.077
_cell_length_b 14.283
_cell_length_c 7.491
_cell_angle_alpha 90.00
_cell_angle_beta 90.00
_cell_angle_gamma 90.00
_space_group_name_H-M_alt 'C m c 21'
_space_group_IT_number 36
_space_group_name_Hall 'C 2c -2'
loop_
_atom_site_label
_atom_site_type_symbol
_atom_site_fract_x
_atom_site_fract_y
_atom_site_fract_z
Er1 Er 0.000 0.095 0.000
Er2 Er 0.177 0.404 0.899
Cd1 Cd 0.000 0.284 0.373
Te1 Te 0.000 0.272 0.746
Te2 Te 0.000 0.465 0.196
Te3 Te 0.165 0.040 0.702
Te4 Te 0.182 0.223 0.159
```



Entry 5:
An optimized crystal structure of FePRhCl2, computed with PBE-GGA.

Calculated values
- Raw formation energy: 631 meV per atom
- Uncorrected energy: -4.352 eV per atom

Cell and atoms, written as CIF:
```
data_FePRhCl2
_cell_length_a 4.595
_cell_length_b 4.595
_cell_length_c 4.442
_cell_angle_alpha 90.00
_cell_angle_beta 90.00
_cell_angle_gamma 90.00
_space_group_name_H-M_alt 'P 4/m m m'
_space_group_IT_number 123
_space_group_name_Hall '-P 4 2'
loop_
_atom_site_label
_atom_site_type_symbol
_atom_site_fract_x
_atom_site_fract_y
_atom_site_fract_z
Fe1 Fe 0.000 0.000 0.000
P1 P 0.000 0.000 0.500
Rh1 Rh 0.500 0.500 0.500
Cl1 Cl 0.000 0.500 0.000
```



Entry 6:
An optimized crystal structure of Ac2Zn6Ge3, computed with PBE-GGA.

Calculated values
- Uncorrected energy: -3.100 eV per atom
- Formation energy from the elements: -399 meV/atom

Cell and atoms, written as CIF:
```
data_Ac2Zn6Ge3
_cell_length_a 7.8688
_cell_length_b 7.8688
_cell_length_c 4.2573
_cell_angle_alpha 90.00
_cell_angle_beta 90.00
_cell_angle_gamma 120.00
_space_group_name_H-M_alt 'P -6 2 m'
_space_group_IT_number 189
_space_group_name_Hall 'P -6 -2'
loop_
_atom_site_label
_atom_site_type_symbol
_atom_site_fract_x
_atom_site_fract_y
_atom_site_fract_z
Ac1 Ac 0.3333 0.6667 0.0000
Zn1 Zn 0.0000 0.2895 0.5000
Zn2 Zn 0.0000 0.8142 0.0000
Ge1 Ge 0.0000 0.6269 0.5000
```



Look up the uncorrected energy of the second one. -2.375 eV per atom



Among the records above, which one has the lowest uncorrected energy? Sc2CrFe



Which of these has the lowest uncorrected energy? Sc2CrFe



What is the formula in the sixth record? Ac2Zn6Ge3